Entry 1:
## Sm3Dy3Sc (GGA-PBE)

Data for an optimized crystal structure of Sm3Dy3Sc.

Output
Excess energy over the best structure of this formula in the dataset ... 0.0 kJ/mol of atoms
Energy relative to the elements ... 0.0299 eV per atom
V ... 444 Å³ per cell
Final energy ... -68.2 eV/cell

Lattice parameters (Å, degrees): 9.5208 9.5208 5.6531 90.00 90.00 120.00
Last column: nearest neighbours and their distance in Å.
Element x y z (fractional)
Sm 0.0968 0.6190 0.2500  3 Sc 3.50-3.61, 5 Dy 3.51-3.63, 4 Sm 3.51-3.57
Sm 0.3810 0.4778 0.2500  3 Sc 3.50-3.61, 5 Dy 3.51-3.63, 4 Sm 3.51-3.57
Sm 0.4778 0.0968 0.7500  3 Sc 3.50-3.61, 5 Dy 3.51-3.63, 4 Sm 3.51-3.57
Sm 0.5222 0.9032 0.2500  3 Sc 3.50-3.61, 5 Dy 3.51-3.63, 4 Sm 3.51-3.57
Sm 0.6190 0.5222 0.7500  3 Sc 3.50-3.61, 5 Dy 3.51-3.63, 4 Sm 3.51-3.57
Sm 0.9032 0.3810 0.7500  3 Sc 3.50-3.61, 5 Dy 3.51-3.63, 4 Sm 3.51-3.57
Dy 0.0507 0.8109 0.7500  5 Sm 3.51-3.63, 6 Dy 3.51-3.61, 1 Sc 3.58
Dy 0.1891 0.2399 0.7500  5 Sm 3.51-3.63, 6 Dy 3.51-3.61, 1 Sc 3.58
Dy 0.2399 0.0507 0.2500  5 Sm 3.51-3.63, 6 Dy 3.51-3.61, 1 Sc 3.58
Dy 0.7601 0.9493 0.7500  5 Sm 3.51-3.63, 6 Dy 3.51-3.61, 1 Sc 3.58
Dy 0.8109 0.7601 0.2500  5 Sm 3.51-3.63, 6 Dy 3.51-3.61, 1 Sc 3.58
Dy 0.9493 0.1891 0.2500  5 Sm 3.51-3.63, 6 Dy 3.51-3.61, 1 Sc 3.58
Sc 0.3333 0.6667 0.7500  9 Sm 3.50-3.61, 3 Dy 3.58
Sc 0.6667 0.3333 0.2500  9 Sm 3.50-3.61, 3 Dy 3.58

***

Entry 2:
## Zr6Zn5Ru (GGA-PBE)

Data for an optimized crystal structure of Zr6Zn5Ru.

Output
Energy relative to the elements ... -0.3216 eV per atom
V ... 222 Å³ per cell
Final energy ... -70.8 eV/cell

Lattice parameters (Å, degrees): 7.4564 7.4564 6.6604 90.00 90.00 143.16
Last column: nearest neighbours and their distance in Å.
Element x y z (fractional)
Zr 0.0000 0.0000 0.2482  2 Ru 2.88, 6 Zn 2.88-2.94
Zr 0.0000 0.0000 0.7518  2 Ru 2.88, 6 Zn 2.88-2.94
Zr 0.3359 0.6641 0.2474  1 Ru 2.85, 7 Zn 2.87-2.90
Zr 0.3359 0.6641 0.7526  1 Ru 2.85, 7 Zn 2.87-2.90
Zr 0.6641 0.3359 0.2474  1 Ru 2.85, 7 Zn 2.87-2.90
Zr 0.6641 0.3359 0.7526  1 Ru 2.85, 7 Zn 2.87-2.90
Zn 0.1671 0.8329 0.0000  8 Zr 2.88-2.90
Zn 0.1703 0.8297 0.5000  8 Zr 2.88-2.94
Zn 0.5000 0.5000 0.5000  8 Zr 2.87-2.89
Zn 0.8297 0.1703 0.5000  8 Zr 2.88-2.94
Zn 0.8329 0.1671 0.0000  8 Zr 2.88-2.90
Ru 0.5000 0.5000 0.0000  8 Zr 2.85-2.88

***

| no. | D(E_F) (states/eV/f.u.) | calculated density (g cm⁻³) |
| --- | --- | --- |
| 1 | 13.9 | 7.4 |
| 2 | 4.5 | 7.3 |